Entry 1:
VASP calculation (GGA-PBE) on crystalline ScPN2F at its relaxed geometry.

Computed properties:
Density of states at the Fermi level, states/eV/f.u.: 1.8
Raw formation energy, eV/atom: 0.1254
Energy relative to the lowest polymorph listed for this composition, meV/atom: 627

Structure (POSCAR):
```
ScPN2F
1.0
4.294 0.000 0.000
0.000 4.294 0.000
0.000 0.000 3.877
N Sc P F
2 1 1 1
Direct
0.500 0.000 0.000
0.000 0.500 0.000
0.000 0.000 0.000
0.500 0.500 0.500
0.000 0.000 0.500
```


Entry 2:
VASP calculation (GGA-PBE) on crystalline KBaCd10 at its relaxed geometry.

Computed properties:
Formation energy from the elements, meV/atom: -150
Density of states at the Fermi level, states/eV/f.u.: 6.5

Structure (POSCAR):
```
KBaCd10
1.0
-4.355 -2.311 -0.166
2.208 -4.426 3.705
-3.282 5.568 8.606
Cd Ba K
10 1 1
Direct
0.000 0.000 0.673
0.500 0.000 0.500
0.500 0.256 0.742
0.500 0.256 0.258
0.500 0.744 0.742
0.000 0.000 0.327
0.500 0.744 0.258
0.500 0.500 0.000
0.000 0.500 0.839
0.000 0.500 0.161
0.000 0.500 0.500
0.000 0.000 0.000
```


Entry 3:
VASP calculation (GGA-PBE) on crystalline VSiGeSb2 at its relaxed geometry.

Computed properties:
Density of states at the Fermi level, states/eV/f.u.: 3.9
Raw formation energy, eV/atom: 0.8078

Structure (POSCAR):
```
VSiGeSb2
1.0
5.244 0.000 0.000
0.000 4.635 0.000
0.000 0.000 5.244
Sb Ge Si V
2 1 1 1
Direct
0.500 0.000 0.000
0.000 0.000 0.500
0.500 0.500 0.500
0.000 0.000 0.000
0.000 0.500 0.000
```


Entry 4:
VASP calculation (GGA-PBE) on crystalline RbCd3Se4O12 at its relaxed geometry.

Computed properties:
Density of states at the Fermi level, states/eV/f.u.: 9.2
Raw formation energy, eV/atom: -0.6092

Structure (POSCAR):
```
RbCd3Se4O12
1.0
7.493 -0.141 -0.196
-1.943 7.239 -0.196
-1.943 -2.484 6.802
O Se Rb Cd
12 4 1 3
Direct
0.953 0.227 0.380
0.102 0.898 0.500
0.650 0.500 0.350
0.047 0.620 0.773
0.500 0.350 0.650
0.350 0.650 0.500
0.898 0.500 0.102
0.380 0.953 0.227
0.620 0.773 0.047
0.500 0.102 0.898
0.227 0.380 0.953
0.773 0.047 0.620
0.500 0.943 0.057
0.943 0.057 0.500
0.500 0.500 0.500
0.057 0.500 0.943
0.000 0.000 0.000
0.562 0.438 0.000
0.000 0.562 0.438
0.438 0.000 0.562
```


Entry 5:
VASP calculation (GGA-PBE) on crystalline Na2AlZnF7 at its relaxed geometry.

Computed properties:
Density of states at the Fermi level, states/eV/f.u.: 0.0
Raw formation energy, eV/atom: -2.9667

Structure (POSCAR):
```
Na2AlZnF7
1.0
-4.655 -1.517 5.413
5.639 -1.909 4.223
-0.315 6.601 -3.098
F Na Al Zn
14 4 2 2
Direct
0.452 0.074 0.749
0.548 0.926 0.251
0.196 0.917 0.279
0.452 0.703 0.378
0.825 0.203 0.251
0.624 0.750 0.874
0.862 0.583 0.279
0.548 0.297 0.622
0.376 0.250 0.126
0.175 0.797 0.749
0.825 0.574 0.622
0.175 0.426 0.378
0.138 0.417 0.721
0.804 0.083 0.721
0.500 0.500 0.000
0.000 0.000 0.500
0.000 0.500 0.000
0.000 0.000 0.000
0.000 0.500 0.500
0.500 0.000 0.500
0.500 0.000 0.000
0.500 0.500 0.500
```


Entry 6:
VASP calculation (GGA-PBE) on crystalline YAs2Ir at its relaxed geometry.

Computed properties:
Formation energy from the elements, meV/atom: -333
Density of states at the Fermi level, states/eV/f.u.: 4.4
Energy relative to the lowest polymorph listed for this composition, meV/atom: 461

Structure (POSCAR):
```
YAs2Ir
1.0
-0.210 -3.318 -1.168
2.177 1.777 -2.126
5.208 -1.705 3.907
Ir As Y
1 2 1
Direct
0.500 0.500 0.250
0.000 0.000 0.038
0.000 0.000 0.462
0.500 0.500 0.750
```


Entry 7:
VASP calculation (GGA-PBE) on crystalline NaMg12Tl6 at its relaxed geometry.

Computed properties:
Formation energy from the elements, meV/atom: 26
Density of states at the Fermi level, states/eV/f.u.: 9.6
Energy relative to the lowest polymorph listed for this composition, meV/atom: 6

Structure (POSCAR):
```
NaMg12Tl6
1.0
-5.961 -5.198 2.107
6.704 -4.670 -0.488
1.178 4.574 6.684
Mg Na Tl
12 1 6
Direct
0.806 0.419 0.418
0.269 0.999 0.731
0.731 0.269 0.999
0.582 0.194 0.581
0.419 0.418 0.806
0.581 0.582 0.194
0.731 0.001 0.269
0.269 0.731 0.001
0.194 0.581 0.582
0.001 0.269 0.731
0.418 0.806 0.419
0.999 0.731 0.269
0.000 0.000 0.000
0.426 0.161 0.160
0.160 0.426 0.161
0.574 0.839 0.840
0.840 0.574 0.839
0.839 0.840 0.574
0.161 0.160 0.426
```


Entry 8:
VASP calculation (GGA-PBE) on crystalline NaErCd2 at its relaxed geometry.

Computed properties:
Formation energy from the elements, meV/atom: -123
Density of states at the Fermi level, states/eV/f.u.: 2.8
Energy relative to the lowest polymorph listed for this composition, meV/atom: 53

Structure (POSCAR):
```
NaErCd2
1.0
5.198 0.000 0.000
2.599 4.502 0.000
2.599 1.501 4.244
Na Cd Er
1 2 1
Direct
0.500 0.500 0.500
0.250 0.250 0.250
0.750 0.750 0.750
0.000 0.000 0.000
```